PBE TaSe2BrO, optimized geometry; symmetry = P4/mmm; formation energy without anion corrections = 345 meV/atom; electronic total energy = -4.746 eV per atom
1.0
-4.028 0.604 2.854
-1.753 -4.391 -1.544
2.427 -2.348 3.922
O Se Br Ta
1 2 1 1
Cartesian
-1.677 -3.067 2.616
-0.876 -2.195 -0.772
-2.014 0.302 1.427
1.214 -1.174 1.961
0.000 0.000 0.000